No. 1
Below is ThZrTlHg after structural relaxation, with properties calculated at the PBE level.

## Properties
The value obtained for the mass density is 11.636 Mg/m³. Its space group is No. 216. The crystal system is cubic. The value obtained for the total DFT energy (no corrections) is -4.6990 eV/atom. The formation energy is -0.040 eV per atom.

a = 5.2773 Å, b = 5.2773 Å, c = 5.2773 Å
α = 60.00°, β = 60.00°, γ = 60.00°
Sites, in units of the cell vectors:
Zr  0.7500  0.7500  0.7500
Tl  0.0000  0.0000  0.0000
Hg  0.5000  0.5000  0.5000
Th  0.2500  0.2500  0.2500

---

No. 2
Below is Tm3ThHg2 after structural relaxation, with properties calculated at the PBE level.

## Properties
The value obtained for the mass density is 11.804 Mg/m³. Its space group is No. 123. The crystal system is tetragonal. The value obtained for the total DFT energy (no corrections) is -3.8981 eV/atom. The formation energy is -0.325 eV per atom.

a = 3.6227 Å, b = 3.6227 Å, c = 12.2196 Å
α = 90.00°, β = 90.00°, γ = 90.00°
Sites, in units of the cell vectors:
Tm  0.0000  0.0000  0.0000
Tm  0.0000  0.0000  0.6930
Tm  0.0000  0.0000  0.3070
Th  0.5000  0.5000  0.5000
Hg  0.5000  0.5000  0.8474
Hg  0.5000  0.5000  0.1526

---

No. 3
Below is TmThHg2 after structural relaxation, with properties calculated at the PBE level.

## Properties
The value obtained for the mass density is 12.006 Mg/m³. Its space group is No. 160. The crystal system is trigonal. The value obtained for the total DFT energy (no corrections) is -3.3693 eV/atom. The formation energy is -0.246 eV per atom.

a = 3.6455 Å, b = 3.6455 Å, c = 9.8663 Å
α = 79.35°, β = 79.35°, γ = 60.00°
Sites, in units of the cell vectors:
Tm  0.6671  0.6671  0.9988
Th  0.4998  0.4998  0.5007
Hg  0.0780  0.0780  0.7661
Hg  0.2552  0.2552  0.2345

---

No. 4
Below is TmThHg3 after structural relaxation, with properties calculated at the PBE level.

## Properties
The value obtained for the mass density is 13.044 Mg/m³. Its space group is No. 63. The crystal system is orthorhombic. The value obtained for the total DFT energy (no corrections) is -2.8789 eV/atom. The formation energy is -0.320 eV per atom.

a = 3.5174 Å, b = 4.9500 Å, c = 14.7686 Å
α = 90.00°, β = 96.84°, γ = 90.00°
Sites, in units of the cell vectors:
Tm  0.2121  0.7500  0.4242
Tm  0.7879  0.2500  0.5758
Th  0.9235  0.7500  0.8471
Th  0.0765  0.2500  0.1529
Hg  0.6246  0.7500  0.2493
Hg  0.3754  0.2500  0.7507
Hg  0.5248  0.7500  0.0496
Hg  0.4752  0.2500  0.9504
Hg  0.6835  0.2500  0.3670
Hg  0.3165  0.7500  0.6330

---

No. 5
Below is TmTh3Hg12 after structural relaxation, with properties calculated at the PBE level.

## Properties
The value obtained for the mass density is 13.296 Mg/m³. Its space group is No. 123. The crystal system is tetragonal. The value obtained for the total DFT energy (no corrections) is -2.0918 eV/atom. The formation energy is -0.195 eV per atom.

a = 4.7819 Å, b = 4.7819 Å, c = 17.8716 Å
α = 90.00°, β = 90.00°, γ = 90.00°
Sites, in units of the cell vectors:
Tm  0.0000  0.0000  0.0000
Th  0.0000  0.0000  0.2443
Th  0.0000  0.0000  0.5000
Th  0.0000  0.0000  0.7557
Hg  0.5000  0.5000  0.0000
Hg  0.5000  0.5000  0.2448
Hg  0.5000  0.5000  0.5000
Hg  0.5000  0.5000  0.7552
Hg  0.5000  0.0000  0.1179
Hg  0.5000  0.0000  0.3726
Hg  0.5000  0.0000  0.6274
Hg  0.5000  0.0000  0.8821
Hg  0.0000  0.5000  0.1179
Hg  0.0000  0.5000  0.3726
Hg  0.0000  0.5000  0.6274
Hg  0.0000  0.5000  0.8821

---

No. 6
Below is Tm2ThHg3 after structural relaxation, with properties calculated at the PBE level.

## Properties
The value obtained for the mass density is 12.600 Mg/m³. Its space group is No. 123. The crystal system is tetragonal. The value obtained for the total DFT energy (no corrections) is -3.2628 eV/atom. The formation energy is -0.385 eV per atom.

a = 3.6346 Å, b = 3.6346 Å, c = 11.6894 Å
α = 90.00°, β = 90.00°, γ = 90.00°
Sites, in units of the cell vectors:
Tm  0.5000  0.5000  0.8412
Tm  0.5000  0.5000  0.1588
Th  0.5000  0.5000  0.5000
Hg  0.0000  0.0000  0.0000
Hg  0.0000  0.0000  0.6870
Hg  0.0000  0.0000  0.3130

---

No. 7
Below is Tm4ThHg5 after structural relaxation, with properties calculated at the PBE level.

## Properties
The value obtained for the mass density is 12.516 Mg/m³. Its space group is No. 123. The crystal system is tetragonal. The value obtained for the total DFT energy (no corrections) is -3.1062 eV/atom. The formation energy is -0.425 eV per atom.

a = 3.6564 Å, b = 3.6564 Å, c = 18.9617 Å
α = 90.00°, β = 90.00°, γ = 90.00°
Sites, in units of the cell vectors:
Tm  0.0000  0.0000  0.2080
Tm  0.0000  0.0000  0.4025
Tm  0.0000  0.0000  0.5975
Tm  0.0000  0.0000  0.7920
Th  0.0000  0.0000  0.0000
Hg  0.5000  0.5000  0.1141
Hg  0.5000  0.5000  0.3046
Hg  0.5000  0.5000  0.5000
Hg  0.5000  0.5000  0.6954
Hg  0.5000  0.5000  0.8859

---

No. 8
Below is TmTh3Hg4 after structural relaxation, with properties calculated at the PBE level.

## Properties
The value obtained for the mass density is 12.985 Mg/m³. Its space group is No. 123. The crystal system is tetragonal. The value obtained for the total DFT energy (no corrections) is -3.7758 eV/atom. The formation energy is -0.284 eV per atom.

a = 3.4654 Å, b = 3.4654 Å, c = 17.7563 Å
α = 90.00°, β = 90.00°, γ = 90.00°
Sites, in units of the cell vectors:
Tm  0.5000  0.5000  0.0000
Hg  0.0000  0.0000  0.8874
Hg  0.0000  0.0000  0.1126
Hg  0.0000  0.0000  0.3715
Hg  0.0000  0.0000  0.6285
Th  0.5000  0.5000  0.2424
Th  0.5000  0.5000  0.5000
Th  0.5000  0.5000  0.7576